1.
The following is a DFT calculation (PBE) of a geometry-optimized LaTl2F8 structure.

Calculated values
magnetic moment: 0.00 μB/f.u.
crystal system: trigonal
energy: -52.4 eV for the cell shown
formation energy without anion corrections: -27.8 eV/f.u.

Structure (POSCAR):
```
LaTl2F8
1.0
-3.6841 -1.1583 -2.3306
2.3312 -6.9703 -0.2199
-4.2354 2.2878 5.5585
Tl F La
2 8 1
Direct
0.7223 0.6667 0.3333
0.2777 0.3333 0.6667
0.2250 0.6667 0.3332
0.7381 0.8406 0.1571
0.7381 0.8429 0.6835
0.7380 0.3165 0.1594
0.2619 0.1571 0.3165
0.7750 0.3333 0.6667
0.2619 0.1594 0.8429
0.2620 0.6835 0.8406
0.0000 0.0000 0.0000
```

2.
The following is a DFT calculation (PBE) of a geometry-optimized TbCdCoCu structure.

Calculated values
magnetic moment: 0.52 μB/f.u.
crystal system: cubic
energy: -16.8 eV for the cell shown
energy relative to the elements: -0.08 eV/f.u.

Structure (POSCAR):
```
TbCdCoCu
1.0
4.6548 0.0000 0.0000
2.3274 4.0312 0.0000
2.3274 1.3437 3.8007
Cu Cd Tb Co
1 1 1 1
Direct
0.0000 0.0000 0.0000
0.7500 0.7500 0.7500
0.2500 0.2500 0.2500
0.5000 0.5000 0.5000
```

3.
The following is a DFT calculation (PBE) of a geometry-optimized KUSi2O7 structure.

Calculated values
magnetic moment: 1.00 μB/f.u.
crystal system: tetragonal
energy: -359.0 eV for the cell shown
formation energy without anion corrections: -31.8 eV/f.u.

Structure (POSCAR):
```
KUSi2O7
1.0
-8.1437 3.2858 -2.9379
-3.4758 -8.5829 0.0358
-2.4476 1.0243 7.9301
Si O U K
8 28 4 4
Direct
0.6195 0.8805 0.1942
0.8805 0.3805 0.1942
0.1195 0.6195 0.8058
0.8805 0.3805 0.8058
0.3805 0.1195 0.8058
0.6195 0.8805 0.8058
0.3805 0.1195 0.1942
0.1195 0.6195 0.1942
0.5000 0.5000 0.5000
0.2761 0.5729 0.2665
0.4271 0.2761 0.2665
0.2239 0.0729 0.2665
0.3797 0.1203 0.0000
0.0000 0.5000 0.2588
0.4271 0.2761 0.7335
0.9271 0.2239 0.7335
0.7761 0.9271 0.2665
0.9271 0.2239 0.2665
0.5729 0.7239 0.7335
0.5000 0.5000 0.0000
0.2761 0.5729 0.7335
0.0000 0.0000 0.5000
0.5000 0.0000 0.2588
0.5729 0.7239 0.2665
0.7761 0.9271 0.7335
0.0000 0.0000 0.0000
0.0729 0.7761 0.7335
0.0000 0.5000 0.7412
0.0729 0.7761 0.2665
0.6203 0.8797 0.0000
0.7239 0.4271 0.2665
0.2239 0.0729 0.7335
0.5000 0.0000 0.7412
0.7239 0.4271 0.7335
0.1203 0.6203 0.0000
0.8797 0.3797 0.0000
0.0000 0.0000 0.7506
0.0000 0.0000 0.2494
0.5000 0.5000 0.2494
0.5000 0.5000 0.7506
0.3199 0.8199 0.5000
0.1801 0.3199 0.5000
0.8199 0.6801 0.5000
0.6801 0.1801 0.5000
```

4.
The following is a DFT calculation (PBE) of a geometry-optimized Sc8Co2Ge structure.

Calculated values
magnetic moment: 1.13 μB/f.u.
crystal system: monoclinic
energy: -72.1 eV for the cell shown
energy relative to the elements: -2.67 eV/f.u.

Structure (POSCAR):
```
Sc8Co2Ge
1.0
4.7761 0.0934 -0.7725
-1.6076 6.5304 -2.7665
0.1453 -0.0901 7.2701
Co Ge Sc
2 1 8
Direct
0.5000 0.6937 0.3126
0.5000 0.3126 0.6937
0.0009 0.0032 0.0032
0.5786 0.0740 0.3328
0.1941 0.3867 0.3867
0.5786 0.3328 0.0740
0.8058 0.6196 0.6196
0.9999 0.7605 0.2454
0.4209 0.9322 0.6733
0.4209 0.6733 0.9322
0.9999 0.2454 0.7605
```

| no. | D(E_F) (states/eV per cell) |
| --- | --- |
| 1 | 3.31 |
| 2 | 2.55 |
| 3 | 0.42 |
| 4 | 13.79 |